A plane-wave DFT calculation with PBE was carried out for an optimized crystal structure of K4Rb7Au.

Geometry as POSCAR:
```
K4Rb7Au
1.0
7.796 -3.502 0.000
7.796 3.502 0.000
-3.944 0.000 16.728
K Rb Au
4 7 1
Cartesian
-0.581 0.000 5.345 K
4.034 0.000 3.856 K
7.615 0.000 12.872 K
12.230 0.000 11.383 K
-1.595 0.000 15.914 Rb
1.133 0.000 9.871 Rb
3.024 0.000 14.366 Rb
5.824 0.000 8.364 Rb
8.624 0.000 2.362 Rb
10.516 0.000 6.857 Rb
13.244 0.000 0.814 Rb
-1.972 0.000 8.364 Au
```

As for the space group: C2/m. The formation energy from the elements is -0.580 eV/f.u. The value obtained for the total energy is -1.25 eV per atom.

---

A plane-wave DFT calculation with PBE was carried out for an optimized crystal structure of KSb2P.

Geometry as POSCAR:
```
KSb2P
1.0
6.942 0.000 0.000
1.862 6.953 0.000
1.792 1.606 11.678
K Sb P
4 8 4
Cartesian
2.010 3.281 4.165 K
4.636 6.152 10.614 K
5.961 2.408 1.065 K
8.586 5.279 7.513 K
3.132 2.765 9.951 Sb
3.981 6.483 4.411 Sb
2.388 1.102 0.983 Sb
5.061 7.029 7.009 Sb
5.535 1.531 4.669 Sb
8.208 7.458 10.695 Sb
6.616 2.076 7.267 Sb
7.465 5.794 1.727 Sb
4.164 2.464 6.687 P
4.997 5.580 1.224 P
5.600 2.979 10.454 P
6.432 6.095 4.992 P
```

As for the space group: P-1. The value obtained for the total energy is -3.80 eV per atom.

---

A plane-wave DFT calculation with PBE was carried out for an optimized crystal structure of PuZrTcAg.

Geometry as POSCAR:
```
PuZrTcAg
1.0
0.000 3.432 3.432
3.432 0.000 3.432
3.432 3.432 0.000
Pu Zr Tc Ag
1 1 1 1
Cartesian
0.000 0.000 0.000 Pu
3.432 3.432 3.432 Zr
1.716 1.716 1.716 Tc
5.148 5.148 5.148 Ag
```

As for the space group: F-43m. The formation energy from the elements is 0.267 eV/f.u. The value obtained for the total energy is -8.96 eV per atom.

---

A plane-wave DFT calculation with PBE was carried out for an optimized crystal structure of BaLiMg2Ir.

Geometry as POSCAR:
```
BaLiMg2Ir
1.0
5.115 0.000 0.000
0.000 5.115 0.000
0.000 0.000 5.110
Ba Li Mg Ir
1 1 2 1
Cartesian
0.000 0.000 0.000 Ba
2.557 2.557 0.000 Li
0.000 2.557 2.555 Mg
2.557 0.000 2.555 Mg
2.557 2.557 2.555 Ir
```

As for the space group: P4/mmm. The formation energy from the elements is -0.524 eV/f.u. The value obtained for the total energy is -3.28 eV per atom.